First-principles (GGA+U) data for a geometry-optimized LiCo2RhO4 structure, as listed in Alexandria via LeMat-Bulk.

Unit cell a=6.011 b=8.652 c=6.030 alpha=90.00 beta=90.00 gamma=90.00
Space group Fmm2 (No. 42)
Unique sites:
Li1 0.000 0.000 0.000 x4
Co1 0.250 0.250 0.252 x8
Rh1 0.000 0.000 0.501 x4
O1 0.000 0.240 0.501 x8
O2 0.249 0.000 0.752 x8

Values from the calculation:
raw total energy = -5.9252 eV/atom